AcPmC2O8 after structural relaxation. Source: the Alexandria database, functional PBE.

abc: 4.934 4.933 7.110
angles: 69.67 69.70 59.99
Last column: magnetic moment on the atom in μB.
Positions (direct):
Ac 0.500 0.500 0.500  -0.01
O 0.668 0.668 0.995  0.34
O 0.916 0.916 0.710  0.18
O 0.084 0.542 0.290  0.18
O 0.916 0.458 0.710  0.18
C 0.260 0.260 0.221  -0.02
O 0.542 0.084 0.290  0.18
O 0.458 0.916 0.710  0.18
O 0.332 0.332 0.005  0.34
O 0.084 0.084 0.290  0.18
C 0.740 0.740 0.779  -0.02
Pm 0.000 0.000 0.000  -0.01

Raw formation energy, meV/atom: -1992
Space-group type: R-3m
Raw total energy, eV per atom: -7.573

***

Pr4HI5 after structural relaxation. Source: the Alexandria database, functional PBE.

abc: 4.113 9.088 9.745
angles: 102.79 102.18 90.00
Positions (direct):
Pr 0.635 0.068 0.269
I 0.833 0.654 0.665
H 0.500 0.000 0.000
I 0.500 0.500 0.000
I 0.167 0.346 0.335
I 0.176 0.825 0.352
Pr 0.002 0.793 0.004
Pr 0.998 0.207 0.996
Pr 0.365 0.932 0.731
I 0.824 0.175 0.648

Space-group type: C2/m
Raw total energy, eV per atom: -4.059

***

K3Sn5Pb2 after structural relaxation. Source: the Alexandria database, functional PBE.

abc: 7.584 10.743 10.743
angles: 67.17 69.33 69.33
Positions (direct):
Pb 0.131 0.722 0.016
Sn 0.011 0.239 0.239
Sn 0.633 0.268 0.465
Pb 0.869 0.278 0.984
K 0.250 0.000 0.000
Pb 0.369 0.984 0.278
Sn 0.250 0.500 0.500
K 0.750 0.000 0.000
K 0.141 0.130 0.589
Sn 0.489 0.761 0.761
K 0.359 0.411 0.870
Pb 0.631 0.016 0.722
Sn 0.989 0.761 0.761
Sn 0.750 0.500 0.500
Sn 0.133 0.465 0.268
Sn 0.367 0.732 0.535
Sn 0.867 0.535 0.732
Sn 0.511 0.239 0.239
K 0.859 0.870 0.411
K 0.641 0.589 0.130

Space-group type: Ibam
Raw total energy, eV per atom: -3.170

***

Question: Number 1 is which compound?
Answer: AcPmC2O8

***

Question: Look up the raw total energy of the first one.
Answer: -7.573 eV per atom

***

Question: Which formula does entry 2 have?
Answer: Pr4HI5